This record from the Alexandria database describes LiMnCrF6 after structural relaxation. The functional is PBE with a Hubbard U.

Computed properties:
Final energy   -5.868 eV per atom

a = 5.352 Å, b = 5.352 Å, c = 8.902 Å
α = 90.00°, β = 90.00°, γ = 120.00°
Atoms (fractional coordinates):
F (0.973, 0.331, 0.131)
F (0.027, 0.358, 0.631)
F (0.642, 0.669, 0.631)
F (0.358, 0.027, 0.131)
F (0.027, 0.669, 0.869)
F (0.358, 0.331, 0.369)
F (0.331, 0.973, 0.631)
F (0.331, 0.358, 0.869)
F (0.973, 0.642, 0.369)
F (0.669, 0.642, 0.131)
F (0.669, 0.027, 0.369)
F (0.642, 0.973, 0.869)
Mn (0.667, 0.333, 0.750)
Mn (0.333, 0.667, 0.250)
Cr (0.667, 0.333, 0.250)
Cr (0.333, 0.667, 0.750)
Li (0.000, 0.000, 0.000)
Li (0.000, 0.000, 0.500)